Cs2MoPF6 | PBE+U | optimized geometry

abc: 7.2307 7.2307 7.2307
angles: 131.40 131.40 71.18
Atoms (fractional coordinates):
Cs (0.2500, 0.7500, 0.5000)
Cs (0.7500, 0.2500, 0.5000)
Mo (0.0000, 0.0000, 0.0000)
P (0.5000, 0.5000, 0.0000)
F (0.1769, 0.1769, 0.0000)
F (0.2513, 0.2513, 0.5026)
F (0.2513, 0.7487, 0.0000)
F (0.7487, 0.2513, 0.0000)
F (0.7487, 0.7487, 0.4974)
F (0.8231, 0.8231, 0.0000)

**M_tot**: 3.00 Bohr magnetons per cell
**Raw total energy**: -4.72 eV/atom
**Symmetry**: No. 139